Record 1
Computed, not measured: a relaxed Ac2TcO crystal at the PBE-GGA level of DFT.

a = 8.647 Å, b = 8.647 Å, c = 8.647 Å
α = 24.96°, β = 24.96°, γ = 24.96°
Fractional positions:
Ac 0.105 0.105 0.105
Ac 0.895 0.895 0.895
Tc 0.000 0.000 0.000
O 0.500 0.500 0.500

Calculated values
Space group: No. 166

Record 2
Computed, not measured: a relaxed Ac2TcO6 crystal at the PBE-GGA level of DFT.

a = 5.710 Å, b = 6.534 Å, c = 9.244 Å
α = 90.00°, β = 122.44°, γ = 90.00°
Fractional positions:
Ac 0.217 0.093 0.252
Ac 0.217 0.407 0.752
Ac 0.783 0.593 0.248
Ac 0.783 0.907 0.748
Tc 0.500 0.000 0.000
Tc 0.500 0.500 0.500
O 0.161 0.143 0.953
O 0.161 0.357 0.453
O 0.306 0.738 0.934
O 0.306 0.762 0.434
O 0.393 0.048 0.768
O 0.393 0.452 0.268
O 0.607 0.548 0.732
O 0.607 0.952 0.232
O 0.694 0.238 0.566
O 0.694 0.262 0.066
O 0.839 0.643 0.547
O 0.839 0.857 0.047

Calculated values
Space group: No. 14

Record 3
Computed, not measured: a relaxed AcTiTcO6 crystal at the PBE-GGA level of DFT.

a = 5.248 Å, b = 5.248 Å, c = 10.714 Å
α = 90.00°, β = 90.00°, γ = 120.00°
Fractional positions:
Ac 0.000 0.000 0.000
Ac 0.000 0.000 0.500
Ti 0.333 0.667 0.250
Ti 0.667 0.333 0.750
Tc 0.333 0.667 0.750
Tc 0.667 0.333 0.250
O 0.000 0.378 0.147
O 0.000 0.378 0.647
O 0.000 0.622 0.353
O 0.000 0.622 0.853
O 0.378 0.000 0.147
O 0.378 0.000 0.647
O 0.378 0.378 0.353
O 0.378 0.378 0.853
O 0.622 0.000 0.353
O 0.622 0.000 0.853
O 0.622 0.622 0.147
O 0.622 0.622 0.647

Calculated values
Space group: No. 163

Record 4
Computed, not measured: a relaxed Ac2TlTcO6 crystal at the PBE-GGA level of DFT.

a = 5.776 Å, b = 5.776 Å, c = 5.789 Å
α = 90.00°, β = 90.00°, γ = 90.00°
Fractional positions:
Ac 0.000 0.500 0.000
Ac 0.500 0.000 0.000
Tl 0.000 0.000 0.530
Tc 0.500 0.500 0.625
O 0.000 0.000 0.103
O 0.283 0.283 0.769
O 0.283 0.717 0.769
O 0.500 0.500 0.319
O 0.717 0.283 0.769
O 0.717 0.717 0.769

Calculated values
Space group: No. 99

Record 5
Computed, not measured: a relaxed Ac2Tl2TcO6 crystal at the PBE-GGA level of DFT.

a = 6.252 Å, b = 6.252 Å, c = 6.659 Å
α = 97.21°, β = 97.21°, γ = 118.84°
Fractional positions:
Ac 0.164 0.836 0.000
Ac 0.836 0.164 0.000
Tl 0.345 0.655 0.500
Tl 0.655 0.345 0.500
Tc 0.500 0.500 0.000
O 0.168 0.457 0.841
O 0.283 0.283 0.193
O 0.457 0.168 0.841
O 0.543 0.832 0.159
O 0.717 0.717 0.807
O 0.832 0.543 0.159

Calculated values
Space group: No. 12

Record 6
Computed, not measured: a relaxed Ac2TlTcO5 crystal at the PBE-GGA level of DFT.

a = 7.353 Å, b = 7.353 Å, c = 5.881 Å
α = 90.00°, β = 90.00°, γ = 90.00°
Fractional positions:
Ac 0.182 0.318 0.000
Ac 0.318 0.818 0.000
Ac 0.682 0.182 0.000
Ac 0.818 0.682 0.000
Tl 0.000 0.000 0.500
Tl 0.500 0.500 0.500
Tc 0.000 0.500 0.500
Tc 0.500 0.000 0.500
O 0.000 0.000 0.000
O 0.127 0.627 0.254
O 0.127 0.627 0.746
O 0.373 0.127 0.254
O 0.373 0.127 0.746
O 0.500 0.500 0.000
O 0.627 0.873 0.254
O 0.627 0.873 0.746
O 0.873 0.373 0.254
O 0.873 0.373 0.746

Calculated values
Space group: No. 127

Record 7
Computed, not measured: a relaxed AcTlTcO6 crystal at the PBE-GGA level of DFT.

a = 5.639 Å, b = 5.639 Å, c = 5.174 Å
α = 90.00°, β = 90.00°, γ = 120.00°
Fractional positions:
Ac 0.000 0.000 0.000
Tl 0.333 0.667 0.500
Tc 0.667 0.333 0.500
O 0.389 0.049 0.714
O 0.389 0.340 0.286
O 0.660 0.049 0.286
O 0.660 0.611 0.714
O 0.951 0.340 0.714
O 0.951 0.611 0.286

Calculated values
Space group: No. 149

Record 8
Computed, not measured: a relaxed Ac3Tl3TcO8 crystal at the PBE-GGA level of DFT.

a = 7.781 Å, b = 7.781 Å, c = 7.781 Å
α = 56.91°, β = 56.91°, γ = 56.91°
Fractional positions:
Ac 0.000 0.500 0.500
Ac 0.500 0.000 0.500
Ac 0.500 0.500 0.000
Tl 0.000 0.000 0.500
Tl 0.000 0.500 0.000
Tl 0.500 0.000 0.000
Tc 0.000 0.000 0.000
O 0.198 0.198 0.770
O 0.198 0.770 0.198
O 0.230 0.802 0.802
O 0.271 0.271 0.271
O 0.729 0.729 0.729
O 0.770 0.198 0.198
O 0.802 0.230 0.802
O 0.802 0.802 0.230

Calculated values
Space group: No. 166

Record 9
Computed, not measured: a relaxed AcTl3Tc2O9 crystal at the PBE-GGA level of DFT.

a = 5.909 Å, b = 5.909 Å, c = 7.683 Å
α = 90.00°, β = 90.00°, γ = 120.00°
Fractional positions:
Ac 0.000 0.000 0.000
Tl 0.000 0.000 0.500
Tl 0.333 0.667 0.210
Tl 0.667 0.333 0.790
Tc 0.333 0.667 0.652
Tc 0.667 0.333 0.348
O 0.000 0.500 0.500
O 0.182 0.364 0.787
O 0.182 0.818 0.787
O 0.364 0.182 0.213
O 0.500 0.000 0.500
O 0.500 0.500 0.500
O 0.636 0.818 0.787
O 0.818 0.182 0.213
O 0.818 0.636 0.213

Calculated values
Space group: No. 164

Record 10
Computed, not measured: a relaxed AcTl2TcO6 crystal at the PBE-GGA level of DFT.

a = 6.422 Å, b = 6.422 Å, c = 6.278 Å
α = 90.00°, β = 90.00°, γ = 120.00°
Fractional positions:
Ac 0.000 0.000 0.000
Tl 0.333 0.667 0.529
Tl 0.667 0.333 0.471
Tc 0.000 0.000 0.500
O 0.137 0.275 0.315
O 0.137 0.863 0.315
O 0.275 0.137 0.685
O 0.725 0.863 0.315
O 0.863 0.137 0.685
O 0.863 0.725 0.685

Calculated values
Space group: No. 164

Record 11
Computed, not measured: a relaxed AcTl2Tc2O7 crystal at the PBE-GGA level of DFT.

a = 12.055 Å, b = 12.055 Å, c = 12.055 Å
α = 161.02°, β = 161.02°, γ = 26.97°
Fractional positions:
Ac 0.000 0.000 0.000
Tl 0.193 0.193 0.000
Tl 0.807 0.807 0.000
Tc 0.409 0.409 0.000
Tc 0.591 0.591 0.000
O 0.081 0.581 0.500
O 0.329 0.329 0.000
O 0.419 0.919 0.500
O 0.500 0.500 0.000
O 0.581 0.081 0.500
O 0.671 0.671 0.000
O 0.919 0.419 0.500

Calculated values
Space group: No. 139

Record 12
Computed, not measured: a relaxed AcTmTc2O8 crystal at the PBE-GGA level of DFT.

a = 5.887 Å, b = 5.887 Å, c = 7.186 Å
α = 90.00°, β = 90.00°, γ = 120.00°
Fractional positions:
Ac 0.000 0.000 0.000
Tm 0.000 0.000 0.500
Tc 0.333 0.667 0.779
Tc 0.667 0.333 0.221
O 0.156 0.315 0.712
O 0.159 0.844 0.712
O 0.315 0.159 0.288
O 0.333 0.667 0.030
O 0.667 0.333 0.970
O 0.685 0.841 0.712
O 0.841 0.156 0.288
O 0.844 0.685 0.288

Calculated values
Space group: No. 147

Record 13
Computed, not measured: a relaxed Ac2TmTc3O12 crystal at the PBE-GGA level of DFT.

a = 6.784 Å, b = 6.784 Å, c = 6.784 Å
α = 64.85°, β = 64.85°, γ = 64.85°
Fractional positions:
Ac 0.119 0.119 0.119
Ac 0.881 0.881 0.881
Tm 0.500 0.500 0.500
Tc 0.000 0.500 0.500
Tc 0.500 0.000 0.500
Tc 0.500 0.500 0.000
O 0.082 0.641 0.641
O 0.221 0.221 0.623
O 0.221 0.623 0.221
O 0.359 0.359 0.918
O 0.359 0.918 0.359
O 0.377 0.779 0.779
O 0.623 0.221 0.221
O 0.641 0.082 0.641
O 0.641 0.641 0.082
O 0.779 0.377 0.779
O 0.779 0.779 0.377
O 0.918 0.359 0.359

Calculated values
Space group: No. 166

Raw formation energy per entry: -0.334 -2.539 -2.532 -2.065 -1.911 -2.173 -1.691 -1.961 -1.460 -1.540 -1.615 -2.144 -2.125 eV/atom
Total DFT energy (no corrections) per entry: -24.88 -142.37 -149.81 -71.35 -74.09 -130.60 -61.81 -98.87 -98.46 -64.36 -83.66 -94.71 -141.54 eV for the cell shown